A plane-wave DFT calculation with PBE-GGA was carried out for SmTmIn after structural relaxation.

Cell lengths 7.316, 7.316, 7.316 Å; angles 151.82, 151.82, 40.27 degrees
Element x y z (fractional)
Sm1 0.000 0.000 0.000
Tm1 0.689 0.689 0.000
In1 0.339 0.339 0.000

Results
Its polymorph energy (0 for the lowest one) is 0.042 eV per atom. The energy relative to the elements is -29.0 kJ per mole of atoms. Its spin magnetization is 0.00 μB/cell. The value obtained for the density is 8.3 Mg/m³. Its crystal system is tetragonal. The value obtained for the energy is -4.277 eV/atom.